This record from the Alexandria database describes a geometry-optimized PIrAu2 structure. The functional is GGA-PBE.

a b c (Å): 2.8096 2.8096 10.4438
angles (deg): 90.00 90.00 119.60
Sites, in units of the cell vectors:
P: 0.0000 0.0000 0.0000
Ir: 0.5000 0.5000 0.1784
Au: 0.0000 0.0000 0.4217
Au: 0.5000 0.5000 0.6784

Properties
VASP energy, eV per atom: -5.017
Calculated volume, Å³ per atom: 17.921
Energy of formation from the pure elements, eV/atom: 0.189